(1)
DFT (PBE-GGA) results for crystalline Cs3Zn2As2 at its relaxed geometry.

Values from the calculation:
**V**: 970.8 Å³ per cell
**Space group**: No. 57
**ΔH_f (0 K)**: -0.212 eV per atom

abc: 7.2809 9.3820 14.2124
angles: 90.00 90.00 90.00
Sites, in units of the cell vectors:
Cs 0.1054 0.1336 0.1095
Cs 0.1054 0.1336 0.3905
Cs 0.1054 0.3664 0.6095
Cs 0.1054 0.3664 0.8905
Cs 0.3067 0.7026 0.7500
Cs 0.3067 0.7974 0.2500
Cs 0.6933 0.2026 0.7500
Cs 0.6933 0.2974 0.2500
Cs 0.8946 0.6336 0.1095
Cs 0.8946 0.6336 0.3905
Cs 0.8946 0.8664 0.6095
Cs 0.8946 0.8664 0.8905
Zn 0.3980 0.0189 0.5847
Zn 0.3980 0.0189 0.9153
Zn 0.3980 0.4811 0.0847
Zn 0.3980 0.4811 0.4153
Zn 0.6020 0.5189 0.5847
Zn 0.6020 0.5189 0.9153
Zn 0.6020 0.9811 0.0847
Zn 0.6020 0.9811 0.4153
As 0.2457 0.0639 0.7500
As 0.2457 0.4361 0.2500
As 0.4239 0.7500 0.0000
As 0.4239 0.7500 0.5000
As 0.5761 0.2500 0.0000
As 0.5761 0.2500 0.5000
As 0.7543 0.5639 0.7500
As 0.7543 0.9361 0.2500

=====

(2)
DFT (PBE-GGA) results for crystalline Cs2ZnAs at its relaxed geometry.

Values from the calculation:
**V**: 483.2 Å³ per cell
**Space group**: No. 122
**Offset from the most stable computed form**: 563 meV per atom
**ΔH_f (0 K)**: 0.289 eV per atom

abc: 11.8534 11.8534 11.8534
angles: 147.34 147.34 46.86
Sites, in units of the cell vectors:
Cs 0.0953 0.6250 0.9703
Cs 0.3750 0.3453 0.4703
Cs 0.6547 0.1250 0.0297
Cs 0.8750 0.9047 0.5297
Zn 0.2500 0.7500 0.5000
Zn 0.5000 0.5000 0.0000
As 0.0000 0.0000 0.0000
As 0.7500 0.2500 0.5000

=====

(3)
DFT (PBE-GGA) results for crystalline CsZnAs at its relaxed geometry.

Values from the calculation:
**V**: 436.4 Å³ per cell
**Space group**: No. 62
**ΔH_f (0 K)**: -0.399 eV per atom

abc: 11.3456 4.2714 9.0052
angles: 90.00 90.00 90.00
Sites, in units of the cell vectors:
Cs 0.1937 0.2500 0.0560
Cs 0.3063 0.7500 0.5560
Cs 0.6937 0.2500 0.4440
Cs 0.8063 0.7500 0.9440
Zn 0.0209 0.2500 0.4190
Zn 0.4791 0.7500 0.9190
Zn 0.5209 0.2500 0.0810
Zn 0.9791 0.7500 0.5810
As 0.0093 0.2500 0.7117
As 0.4907 0.7500 0.2117
As 0.5093 0.2500 0.7883
As 0.9907 0.7500 0.2883

=====

(4)
DFT (PBE-GGA) results for crystalline CsZnAs at its relaxed geometry.

Values from the calculation:
**V**: 205.7 Å³ per cell
**Space group**: No. 12
**ΔH_f (0 K)**: -0.422 eV per atom

abc: 7.6362 7.6362 6.8560
angles: 105.12 105.12 32.32
Sites, in units of the cell vectors:
Cs 0.0891 0.0891 0.3065
Cs 0.9109 0.9109 0.6935
Zn 0.2161 0.2161 0.8935
Zn 0.7839 0.7839 0.1065
As 0.3674 0.3674 0.2077
As 0.6326 0.6326 0.7923

=====

(5)
DFT (PBE-GGA) results for crystalline CsZnAs at its relaxed geometry.

Values from the calculation:
**V**: 556.4 Å³ per cell
**Space group**: No. 62
**ΔH_f (0 K)**: -0.393 eV per atom

abc: 12.7128 6.0387 7.2481
angles: 90.00 90.00 90.00
Sites, in units of the cell vectors:
Cs 0.1527 0.2500 0.0241
Cs 0.3473 0.7500 0.5241
Cs 0.6527 0.2500 0.4759
Cs 0.8473 0.7500 0.9759
Zn 0.0000 0.0000 0.5000
Zn 0.0000 0.5000 0.5000
Zn 0.5000 0.0000 0.0000
Zn 0.5000 0.5000 0.0000
As 0.0822 0.7500 0.2988
As 0.4178 0.2500 0.7988
As 0.5822 0.7500 0.2012
As 0.9178 0.2500 0.7012

=====

(6)
DFT (PBE-GGA) results for crystalline Cs4Zn5As6 at its relaxed geometry.

Values from the calculation:
**V**: 918.6 Å³ per cell
**Space group**: No. 36
**ΔH_f (0 K)**: -0.258 eV per atom

abc: 10.3345 10.3345 20.6347
angles: 90.00 90.00 155.37
Sites, in units of the cell vectors:
Cs 0.0578 0.9422 0.5000
Cs 0.0577 0.9423 0.7650
Cs 0.2466 0.7534 0.4691
Cs 0.2465 0.7535 0.7954
Cs 0.7535 0.2465 0.2954
Cs 0.7534 0.2466 0.9691
Cs 0.9422 0.0578 0.0000
Cs 0.9423 0.0577 0.2650
Zn 0.0641 0.9359 0.1323
Zn 0.2146 0.7854 0.1323
Zn 0.3673 0.6327 0.1323
Zn 0.4221 0.5779 0.5296
Zn 0.4220 0.5780 0.7353
Zn 0.5779 0.4221 0.0296
Zn 0.5780 0.4220 0.2353
Zn 0.6327 0.3673 0.6323
Zn 0.7854 0.2146 0.6323
Zn 0.9359 0.0641 0.6323
As 0.1412 0.8588 0.0325
As 0.1413 0.8587 0.2320
As 0.1962 0.8038 0.6323
As 0.4472 0.5528 0.4058
As 0.4469 0.5531 0.8591
As 0.4952 0.5048 0.1325
As 0.5048 0.4952 0.6325
As 0.5531 0.4469 0.3591
As 0.5528 0.4472 0.9058
As 0.8038 0.1962 0.1323
As 0.8588 0.1412 0.5325
As 0.8587 0.1413 0.7320

=====

(7)
DFT (PBE-GGA) results for crystalline Cs2ZnAs at its relaxed geometry.

Values from the calculation:
**V**: 444.0 Å³ per cell
**Space group**: No. 11
**Offset from the most stable computed form**: 0 meV per atom
**ΔH_f (0 K)**: -0.273 eV per atom

abc: 7.7234 5.4099 11.3003
angles: 90.00 109.89 90.00
Sites, in units of the cell vectors:
Cs 0.0770 0.2500 0.1590
Cs 0.3402 0.7500 0.6405
Cs 0.6598 0.2500 0.3595
Cs 0.9230 0.7500 0.8410
Zn 0.5000 0.0000 0.0000
Zn 0.5000 0.5000 0.0000
As 0.3786 0.7500 0.1256
As 0.6214 0.2500 0.8744

=====

(8)
DFT (PBE-GGA) results for crystalline Cs2ZnAs at its relaxed geometry.

Values from the calculation:
**V**: 175.9 Å³ per cell
**Space group**: No. 12
**Offset from the most stable computed form**: 15 meV per atom
**ΔH_f (0 K)**: -0.259 eV per atom

abc: 6.3116 6.3116 5.0981
angles: 90.11 90.11 60.01
Sites, in units of the cell vectors:
Cs 0.1669 0.1669 0.2702
Cs 0.8331 0.8331 0.7298
Zn 0.5000 0.5000 0.0000
As 0.5000 0.5000 0.5000

=====

(9)
DFT (PBE-GGA) results for crystalline CsZn4As2 at its relaxed geometry.

Values from the calculation:
**V**: 179.8 Å³ per cell
**Space group**: No. 166
**ΔH_f (0 K)**: -0.142 eV per atom

abc: 12.1107 12.1107 12.1107
angles: 19.89 19.89 19.89
Sites, in units of the cell vectors:
Cs 0.0000 0.0000 0.0000
Zn 0.1844 0.1844 0.1844
Zn 0.4242 0.4242 0.4242
Zn 0.5758 0.5758 0.5758
Zn 0.8156 0.8156 0.8156
As 0.2552 0.2552 0.2552
As 0.7448 0.7448 0.7448

=====

(10)
DFT (PBE-GGA) results for crystalline CsZnAs at its relaxed geometry.

Values from the calculation:
**V**: 217.0 Å³ per cell
**Space group**: No. 11
**ΔH_f (0 K)**: -0.402 eV per atom

abc: 6.4463 4.2754 8.1023
angles: 90.00 103.63 90.00
Sites, in units of the cell vectors:
Cs 0.1926 0.2500 0.3071
Cs 0.8074 0.7500 0.6929
Zn 0.3887 0.7500 0.9376
Zn 0.6113 0.2500 0.0624
As 0.3048 0.2500 0.7835
As 0.6952 0.7500 0.2165

=====

(11)
DFT (PBE-GGA) results for crystalline CsZr3As at its relaxed geometry.

Values from the calculation:
**V**: 144.6 Å³ per cell
**Space group**: No. 221
**Offset from the most stable computed form**: 0 meV per atom
**ΔH_f (0 K)**: 0.546 eV per atom

abc: 5.2487 5.2487 5.2487
angles: 90.00 90.00 90.00
Sites, in units of the cell vectors:
Cs 0.0000 0.0000 0.0000
Zr 0.0000 0.5000 0.5000
Zr 0.5000 0.0000 0.5000
Zr 0.5000 0.5000 0.0000
As 0.5000 0.5000 0.5000

=====

(12)
DFT (PBE-GGA) results for crystalline CsZrAs2 at its relaxed geometry.

Values from the calculation:
**V**: 101.3 Å³ per cell
**Space group**: No. 225
**Offset from the most stable computed form**: 816 meV per atom
**ΔH_f (0 K)**: 0.193 eV per atom

abc: 5.2322 5.2322 5.2322
angles: 60.00 60.00 60.00
Sites, in units of the cell vectors:
Cs 0.0000 0.0000 0.0000
Zr 0.5000 0.5000 0.5000
As 0.2500 0.2500 0.2500
As 0.7500 0.7500 0.7500

=====

(13)
DFT (PBE-GGA) results for crystalline CsZrAs2 at its relaxed geometry.

Values from the calculation:
**V**: 119.4 Å³ per cell
**Space group**: No. 166
**Offset from the most stable computed form**: 0 meV per atom
**ΔH_f (0 K)**: -0.623 eV per atom

abc: 8.6505 8.6505 8.6505
angles: 27.21 27.21 27.21
Sites, in units of the cell vectors:
Cs 0.0000 0.0000 0.0000
Zr 0.5000 0.5000 0.5000
As 0.2241 0.2241 0.2241
As 0.7759 0.7759 0.7759

=====

(14)
DFT (PBE-GGA) results for crystalline CsZr3As at its relaxed geometry.

Values from the calculation:
**V**: 144.2 Å³ per cell
**Space group**: No. 221
**Offset from the most stable computed form**: 1447 meV per atom
**ΔH_f (0 K)**: 1.993 eV per atom

abc: 5.2435 5.2435 5.2435
angles: 90.00 90.00 90.00
Sites, in units of the cell vectors:
Cs 0.0000 0.0000 0.0000
Zr 0.0000 0.0000 0.5000
Zr 0.0000 0.5000 0.0000
Zr 0.5000 0.0000 0.0000
As 0.5000 0.5000 0.5000

=====

(15)
DFT (PBE-GGA) results for crystalline Cu4As5 at its relaxed geometry.

Values from the calculation:
**V**: 290.8 Å³ per cell
**Space group**: No. 193
**Offset from the most stable computed form**: 7 meV per atom
**ΔH_f (0 K)**: 0.318 eV per atom

abc: 7.7131 7.7131 5.6443
angles: 90.00 90.00 120.00
Sites, in units of the cell vectors:
Cu 0.0000 0.0000 0.0000
Cu 0.0000 0.0000 0.5000
Cu 0.0000 0.3693 0.2500
Cu 0.0000 0.6307 0.7500
Cu 0.3693 0.0000 0.2500
Cu 0.3693 0.3693 0.7500
Cu 0.6307 0.0000 0.7500
Cu 0.6307 0.6307 0.2500
As 0.0000 0.2892 0.7500
As 0.0000 0.7108 0.2500
As 0.2892 0.0000 0.7500
As 0.2892 0.2892 0.2500
As 0.3333 0.6667 0.0000
As 0.3333 0.6667 0.5000
As 0.6667 0.3333 0.0000
As 0.6667 0.3333 0.5000
As 0.7108 0.0000 0.2500
As 0.7108 0.7108 0.7500

=====

(16)
DFT (PBE-GGA) results for crystalline Cu4As at its relaxed geometry.

Values from the calculation:
**V**: 131.4 Å³ per cell
**Space group**: No. 74
**Offset from the most stable computed form**: 37 meV per atom
**ΔH_f (0 K)**: 0.078 eV per atom

abc: 7.2033 7.2033 7.2033
angles: 148.04 138.08 53.67
Sites, in units of the cell vectors:
Cu 0.0000 0.0000 0.0000
Cu 0.2012 0.1940 0.0073
Cu 0.3133 0.8060 0.5073
Cu 0.3607 0.6107 0.7500
Cu 0.5000 0.0000 0.5000
Cu 0.6393 0.3893 0.2500
Cu 0.6867 0.1940 0.4927
Cu 0.7988 0.8060 0.9927
As 0.1435 0.3935 0.7500
As 0.8565 0.6065 0.2500

=====

(17)
DFT (PBE-GGA) results for crystalline CuAs2 at its relaxed geometry.

Values from the calculation:
**V**: 52.3 Å³ per cell
**Space group**: No. 164
**ΔH_f (0 K)**: 0.151 eV per atom

abc: 3.6129 3.6129 4.6295
angles: 90.00 90.00 120.00
Sites, in units of the cell vectors:
Cu 0.0000 0.0000 0.0000
As 0.3333 0.6667 0.3139
As 0.6667 0.3333 0.6861

=====

(18)
DFT (PBE-GGA) results for crystalline CuAs2 at its relaxed geometry.

Values from the calculation:
**V**: 108.0 Å³ per cell
**Space group**: No. 63
**ΔH_f (0 K)**: 0.138 eV per atom

abc: 7.8579 7.8579 5.0185
angles: 90.00 90.00 159.60
Sites, in units of the cell vectors:
Cu 0.1647 0.8353 0.7500
Cu 0.8353 0.1647 0.2500
As 0.1984 0.8016 0.2500
As 0.4710 0.5290 0.2500
As 0.5290 0.4710 0.7500
As 0.8016 0.1984 0.7500

=====

(19)
DFT (PBE-GGA) results for crystalline CuAs2 at its relaxed geometry.

Values from the calculation:
**V**: 54.9 Å³ per cell
**Space group**: No. 139
**ΔH_f (0 K)**: 0.229 eV per atom

abc: 7.5856 7.5856 7.5856
angles: 159.22 159.22 29.56
Sites, in units of the cell vectors:
Cu 0.0000 0.0000 0.0000
As 0.3667 0.3667 0.0000
As 0.6333 0.6333 0.0000

=====

(20)
DFT (PBE-GGA) results for crystalline CuAs2 at its relaxed geometry.

Values from the calculation:
**V**: 114.6 Å³ per cell
**Space group**: No. 227
**ΔH_f (0 K)**: 0.650 eV per atom

abc: 5.4516 5.4516 5.4516
angles: 60.00 60.00 60.00
Sites, in units of the cell vectors:
Cu 0.1250 0.1250 0.1250
Cu 0.8750 0.8750 0.8750
As 0.0000 0.5000 0.5000
As 0.5000 0.0000 0.5000
As 0.5000 0.5000 0.0000
As 0.5000 0.5000 0.5000